(i)
Compound: K3ScCu
Source: the Alexandria database
Functional: GGA-PBE
Structure: relaxed

```
5
Lattice="6.311 0.000 0.000 0.000 6.311 0.000 0.000 0.000 6.311" Properties=species:S:1:pos:R:3 pbc="T T T"
K 0.000 0.000 3.155
K 0.000 3.155 0.000
K 3.155 0.000 0.000
Sc 3.155 3.155 3.155
Cu 0.000 0.000 0.000
```

## Properties
Its space group is Pm-3m. Its density of states at the Fermi level is 6.5 states/eV/f.u. The calculation puts the volume at 50.3 Å³/atom.

***

(ii)
Compound: K3ScCu
Source: the Alexandria database
Functional: GGA-PBE
Structure: relaxed

```
5
Lattice="6.939 0.000 0.000 0.000 6.939 0.000 0.000 0.000 6.939" Properties=species:S:1:pos:R:3 pbc="T T T"
K 0.000 0.000 3.469
K 0.000 3.469 0.000
K 3.469 0.000 0.000
Sc 0.000 0.000 0.000
Cu 3.469 3.469 3.469
```

## Properties
Its space group is Pm-3m. Its density of states at the Fermi level is 11.2 states/eV/f.u. The calculation puts the volume at 66.8 Å³/atom.

***

Least stable structure: (ii)

***

(i)
Compound: KScCu
Source: the Alexandria database
Functional: GGA-PBE
Structure: relaxed

```
3
Lattice="3.645 0.000 0.000 -1.823 3.157 0.000 0.000 0.000 7.738" Properties=species:S:1:pos:R:3 pbc="T T T"
K 0.000 0.000 0.000
Sc 0.000 2.105 3.578
Cu 1.823 1.052 5.128
```

## Properties
Its space group is P3m1. Its density of states at the Fermi level is 3.7 states/eV/f.u. The calculation puts the volume at 29.7 Å³/atom.

***

(ii)
Compound: KScCu
Source: the Alexandria database
Functional: GGA-PBE
Structure: relaxed

```
3
Lattice="4.524 0.000 0.000 -2.262 3.918 0.000 0.000 0.000 5.304" Properties=species:S:1:pos:R:3 pbc="T T T"
K 0.000 0.000 0.000
Sc 2.262 1.306 2.651
Cu 0.000 2.612 2.662
```

## Properties
Its space group is P3m1. Its density of states at the Fermi level is 3.9 states/eV/f.u. The calculation puts the volume at 31.3 Å³/atom.

***

(iii)
Compound: KScCu
Source: the Alexandria database
Functional: GGA-PBE
Structure: relaxed

```
3
Lattice="0.000 3.504 3.504 3.504 0.000 3.504 3.504 3.504 0.000" Properties=species:S:1:pos:R:3 pbc="T T T"
K 0.000 0.000 0.000
Sc 5.257 5.257 5.257
Cu 1.752 1.752 1.752
```

## Properties
Its space group is F-43m. Its density of states at the Fermi level is 3.3 states/eV/f.u. The calculation puts the volume at 28.7 Å³/atom.

***

(iv)
Compound: KScCu
Source: the Alexandria database
Functional: GGA-PBE
Structure: relaxed

```
3
Lattice="-1.727 1.727 7.066 1.727 -1.727 7.066 1.727 1.727 -7.066" Properties=species:S:1:pos:R:3 pbc="T T T"
K 0.000 0.000 0.000
Sc 0.000 0.000 3.655
Cu 0.000 0.000 9.567
```

## Properties
Its space group is I4mm. Its density of states at the Fermi level is 3.4 states/eV/f.u. The calculation puts the volume at 28.1 Å³/atom.

***

Least stable structure: (iii)

***

(i)
Compound: KScCuSe2
Source: the Alexandria database
Functional: GGA-PBE
Structure: relaxed

```
10
Lattice="7.676 0.000 0.000 0.000 4.564 0.000 -1.105 0.000 7.562" Properties=species:S:1:pos:R:3 pbc="T T T"
K -0.276 0.685 1.890
K -0.829 3.879 5.671
Sc 3.009 2.261 5.671
Sc 3.562 2.302 1.890
Cu 3.838 0.000 0.000
Cu 3.285 0.000 3.781
Se 0.997 1.571 7.317
Se 1.550 2.992 3.537
Se 5.021 1.571 4.025
Se 5.573 2.992 0.244
```

## Properties
Its space group is P2/c. Its density of states at the Fermi level is 2.7 states/eV/f.u. The calculation puts the volume at 26.5 Å³/atom.

***

(ii)
Compound: KScCuSe2
Source: the Alexandria database
Functional: GGA-PBE
Structure: relaxed

```
5
Lattice="5.203 0.000 0.000 0.000 5.203 0.000 0.000 0.000 5.224" Properties=species:S:1:pos:R:3 pbc="T T T"
K 0.000 0.000 0.000
Sc 2.602 2.602 2.612
Cu 2.602 2.602 0.000
Se 0.000 2.602 2.612
Se 2.602 0.000 2.612
```

## Properties
Its space group is P4/mmm. Its density of states at the Fermi level is 2.6 states/eV/f.u. The calculation puts the volume at 28.3 Å³/atom.

***

Least stable structure: (ii)

***

(i)
Compound: KCuSe4
Source: the Alexandria database
Functional: GGA-PBE
Structure: relaxed

```
6
Lattice="0.000 4.139 4.139 4.139 0.000 4.139 4.139 4.139 0.000" Properties=species:S:1:pos:R:3 pbc="T T T"
K 0.000 0.000 0.000
Cu 2.070 2.070 2.070
Se 5.165 3.113 3.113
Se 3.113 5.165 3.113
Se 3.113 3.113 5.165
Se 5.165 5.165 5.165
```

## Properties
Its space group is F-43m. Its density of states at the Fermi level is 1.3 states/eV/f.u. The calculation puts the volume at 23.6 Å³/atom.

***

(ii)
Compound: KCuSe4
Source: the Alexandria database
Functional: GGA-PBE
Structure: relaxed

```
12
Lattice="-2.818 2.818 10.438 2.818 -2.818 10.438 2.818 2.818 -10.438" Properties=species:S:1:pos:R:3 pbc="T T T"
K 2.818 1.409 2.610
K 0.000 1.409 7.829
Cu 2.818 -1.409 7.829
Cu 0.000 4.227 2.610
Se 1.634 1.409 -0.811
Se 4.002 1.409 -0.811
Se 0.000 0.225 4.409
Se 2.818 0.225 6.030
Se 0.000 2.593 4.409
Se 2.818 2.593 6.030
Se -1.184 1.409 11.249
Se 1.184 1.409 11.249
```

## Properties
Its space group is I4_1/amd. Its density of states at the Fermi level is 2.6 states/eV/f.u. The calculation puts the volume at 27.6 Å³/atom.

***

Least stable structure: (i)

***

(i)
Compound: KCu3Se
Source: the Alexandria database
Functional: GGA-PBE
Structure: relaxed

```
5
Lattice="4.871 0.000 0.000 0.000 4.871 0.000 0.000 0.000 4.871" Properties=species:S:1:pos:R:3 pbc="T T T"
K 0.000 0.000 0.000
Cu 0.000 2.436 2.436
Cu 2.436 0.000 2.436
Cu 2.436 2.436 0.000
Se 2.436 2.436 2.436
```

## Properties
Its space group is Pm-3m. Its density of states at the Fermi level is 2.5 states/eV/f.u. The calculation puts the volume at 23.1 Å³/atom.

***

(ii)
Compound: KCu3Se
Source: the Alexandria database
Functional: GGA-PBE
Structure: relaxed

```
5
Lattice="4.992 0.000 0.000 0.000 4.992 0.000 0.000 0.000 4.992" Properties=species:S:1:pos:R:3 pbc="T T T"
K 0.000 0.000 0.000
Cu 0.000 0.000 2.496
Cu 0.000 2.496 0.000
Cu 2.496 0.000 0.000
Se 2.496 2.496 2.496
```

## Properties
Its space group is Pm-3m. Its density of states at the Fermi level is 0.7 states/eV/f.u. The calculation puts the volume at 24.9 Å³/atom.

***

Least stable structure: (ii)

***

(i)
Compound: KCu6Se4
Source: the Alexandria database
Functional: GGA-PBE
Structure: relaxed

```
11
Lattice="-2.019 2.019 12.857 2.019 -2.019 12.857 2.019 2.019 -12.857" Properties=species:S:1:pos:R:3 pbc="T T T"
K 0.000 0.000 0.000
Cu 2.019 0.000 3.295
Cu 2.019 0.000 6.428
Cu 2.019 0.000 9.561
Cu 0.000 2.019 3.295
Cu 0.000 2.019 6.428
Cu 0.000 2.019 9.561
Se 0.000 0.000 4.942
Se 0.000 0.000 10.900
Se 0.000 0.000 14.813
Se 0.000 0.000 20.771
```

## Properties
Its space group is I4/mmm. Its density of states at the Fermi level is 5.7 states/eV/f.u. The calculation puts the volume at 19.0 Å³/atom.

***

(ii)
Compound: KCu6Se4
Source: the Alexandria database
Functional: GGA-PBE
Structure: relaxed

```
11
Lattice="7.478 0.000 0.000 -3.739 6.476 0.000 0.000 0.000 3.955" Properties=species:S:1:pos:R:3 pbc="T T T"
K 0.000 0.000 0.000
Cu 0.000 2.655 1.977
Cu -1.440 5.148 1.977
Cu 3.739 0.636 0.000
Cu 2.420 2.920 0.000
Cu 1.440 5.148 1.977
Cu 5.058 2.920 0.000
Se 0.000 4.317 0.000
Se 2.059 1.189 1.977
Se 5.419 1.189 1.977
Se 3.739 4.098 1.977
```

## Properties
Its space group is P-6m2. Its density of states at the Fermi level is 6.7 states/eV/f.u. The calculation puts the volume at 17.4 Å³/atom.

***

Least stable structure: (ii)

***

(i)
Compound: KVCu2Se4
Source: the Alexandria database
Functional: GGA-PBE
Structure: relaxed

```
16
Lattice="7.720 0.000 0.000 0.000 9.438 2.807 0.000 -9.438 2.807" Properties=species:S:1:pos:R:3 pbc="T T T"
K 1.930 -5.936 2.807
K 5.790 5.936 2.807
V 1.930 -2.028 1.313
V 5.790 2.028 1.313
Cu 0.000 0.000 1.401
Cu 1.930 -2.043 4.117
Cu 3.860 0.000 1.401
Cu 5.790 2.043 4.117
Se 0.010 -2.066 2.648
Se 1.930 5.509 2.813
Se 1.930 -0.089 5.554
Se 3.850 -2.066 2.648
Se 3.869 2.066 2.648
Se 5.790 -5.509 2.813
Se 5.790 0.089 5.554
Se 7.710 2.066 2.648
```

## Properties
Its space group is Ama2. The calculation puts the volume at 25.6 Å³/atom.

***

(ii)
Compound: KVCu2Se4
Source: the Alexandria database
Functional: GGA-PBE
Structure: relaxed

```
8
Lattice="-3.212 3.212 4.807 3.212 -3.212 4.807 3.212 3.212 -4.807" Properties=species:S:1:pos:R:3 pbc="T T T"
K 0.000 0.000 0.000
V 0.000 0.000 4.807
Cu 3.212 0.000 2.404
Cu 0.000 3.212 2.404
Se 1.275 -1.275 3.349
Se 1.937 1.937 1.458
Se -1.275 1.275 3.349
Se 1.275 1.275 6.265
```

## Properties
Its space group is I-42m. Its density of states at the Fermi level is 2.1 states/eV/f.u. The calculation puts the volume at 24.8 Å³/atom.

***

Least stable structure: (ii)

***

(i)
Compound: K2Cu2Si
Source: the Alexandria database
Functional: GGA-PBE
Structure: relaxed

```
10
Lattice="6.618 0.000 0.000 0.000 6.618 0.000 0.000 0.000 5.634" Properties=species:S:1:pos:R:3 pbc="T T T"
K 1.103 2.206 0.000
K 2.206 5.515 0.000
K 4.412 1.103 0.000
K 5.515 4.412 0.000
Cu 1.406 4.715 2.817
Cu 1.903 1.406 2.817
Cu 4.715 5.212 2.817
Cu 5.212 1.903 2.817
Si 0.000 0.000 2.817
Si 3.309 3.309 2.817
```

## Properties
Its space group is P4/mbm. Its density of states at the Fermi level is 0.7 states/eV/f.u. The calculation puts the volume at 24.7 Å³/atom.

***

(ii)
Compound: K2Cu2Si
Source: the Alexandria database
Functional: GGA-PBE
Structure: relaxed

```
5
Lattice="2.088 1.206 10.073 -2.088 1.206 10.073 0.000 -2.412 10.073" Properties=species:S:1:pos:R:3 pbc="T T T"
K 0.000 0.000 2.160
K 0.000 0.000 28.059
Cu 0.000 0.000 5.287
Cu 0.000 0.000 24.932
Si 0.000 0.000 15.109
```

## Properties
Its space group is R-3m. Its density of states at the Fermi level is 2.0 states/eV/f.u. The calculation puts the volume at 30.4 Å³/atom.

***

Least stable structure: (i)

***

(i)
Compound: KCu2Si2
Source: the Alexandria database
Functional: GGA-PBE
Structure: relaxed

```
10
Lattice="8.029 0.000 0.000 0.000 8.029 0.000 0.000 0.000 2.596" Properties=species:S:1:pos:R:3 pbc="T T T"
K 0.000 0.000 0.000
K 4.014 4.014 0.000
Cu 1.149 2.866 1.298
Cu 2.866 6.880 1.298
Cu 5.163 1.149 1.298
Cu 6.880 5.163 1.298
Si 1.094 5.108 0.000
Si 2.921 1.094 0.000
Si 5.108 6.935 0.000
Si 6.935 2.921 0.000
```

## Properties
Its space group is P4/mbm. Its density of states at the Fermi level is 1.7 states/eV/f.u. The calculation puts the volume at 16.7 Å³/atom.

***

(ii)
Compound: KCu2Si2
Source: the Alexandria database
Functional: GGA-PBE
Structure: relaxed

```
5
Lattice="-2.103 2.103 5.785 2.103 -2.103 5.785 2.103 2.103 -5.785" Properties=species:S:1:pos:R:3 pbc="T T T"
K 0.000 0.000 0.000
Cu 0.000 0.000 3.989
Cu 0.000 0.000 7.582
Si 2.103 0.000 2.893
Si 0.000 2.103 2.893
```

## Properties
Its space group is I4/mmm. Its density of states at the Fermi level is 1.8 states/eV/f.u. The calculation puts the volume at 20.5 Å³/atom.

***

(iii)
Compound: KCu2Si2
Source: the Alexandria database
Functional: GGA-PBE
Structure: relaxed

```
10
Lattice="7.982 0.000 0.000 0.000 7.982 0.000 0.000 0.000 2.610" Properties=species:S:1:pos:R:3 pbc="T T T"
K 0.000 0.000 0.000
K 3.991 3.991 0.000
Cu 1.112 2.879 0.000
Cu 2.879 6.870 0.000
Cu 5.103 1.112 0.000
Cu 6.870 5.103 0.000
Si 1.119 5.110 1.305
Si 2.872 1.119 1.305
Si 5.110 6.864 1.305
Si 6.864 2.872 1.305
```

## Properties
Its space group is P4/mbm. Its density of states at the Fermi level is 2.0 states/eV/f.u. The calculation puts the volume at 16.6 Å³/atom.

***

Least stable structure: (i)

***

(i)
Compound: K2Cu2Sn
Source: the Alexandria database
Functional: GGA-PBE
Structure: relaxed

```
10
Lattice="6.936 0.000 0.000 0.000 6.936 0.000 0.000 0.000 5.565" Properties=species:S:1:pos:R:3 pbc="T T T"
K 1.250 2.218 0.000
K 2.218 5.687 0.000
K 4.718 1.250 0.000
K 5.687 4.718 0.000
Cu 0.882 4.351 2.782
Cu 2.586 0.882 2.782
Cu 4.351 6.054 2.782
Cu 6.054 2.586 2.782
Sn 0.000 0.000 2.782
Sn 3.468 3.468 2.782
```

## Properties
Its space group is P4/mbm. Its density of states at the Fermi level is 1.6 states/eV/f.u. The calculation puts the volume at 26.8 Å³/atom.

***

(ii)
Compound: K2Cu2Sn
Source: the Alexandria database
Functional: GGA-PBE
Structure: relaxed

```
5
Lattice="-1.726 1.726 11.393 1.726 -1.726 11.393 1.726 1.726 -11.393" Properties=species:S:1:pos:R:3 pbc="T T T"
K 0.000 0.000 2.795
K 0.000 0.000 19.992
Cu 1.726 0.000 5.697
Cu 0.000 1.726 5.697
Sn 0.000 0.000 11.393
```

## Properties
Its space group is I4/mmm. Its density of states at the Fermi level is 3.0 states/eV/f.u. The calculation puts the volume at 27.2 Å³/atom.

***

Least stable structure: (ii)

***

(i)
Compound: K2SrCu
Source: the Alexandria database
Functional: GGA-PBE
Structure: relaxed

```
8
Lattice="-5.615 5.615 3.198 5.615 -5.615 3.198 5.615 5.615 -3.198" Properties=species:S:1:pos:R:3 pbc="T T T"
K 8.422 1.611 -0.799
K 1.611 2.807 0.799
K -2.807 4.004 2.398
K 4.004 2.807 3.997
Sr 5.615 0.000 1.599
Sr 0.000 0.000 3.198
Cu 0.000 0.000 0.000
Cu 0.000 5.615 1.599
```

## Properties
Its space group is I-42d. Its density of states at the Fermi level is 2.9 states/eV/f.u. The calculation puts the volume at 50.4 Å³/atom.

***

(ii)
Compound: K2SrCu
Source: the Alexandria database
Functional: GGA-PBE
Structure: relaxed

```
4
Lattice="-2.102 3.344 6.863 2.102 -3.344 6.863 2.102 3.344 -6.863" Properties=species:S:1:pos:R:3 pbc="T T T"
K 0.000 0.000 0.000
K 0.000 3.344 2.372
Sr 0.000 0.000 4.865
Cu 2.102 0.000 2.654
```

## Properties
Its space group is Imm2. Its density of states at the Fermi level is 2.0 states/eV/f.u. The calculation puts the volume at 48.2 Å³/atom.

***

Least stable structure: (i)